# 1
RbHSe3 | GGA-PBE | optimized geometry

Calculated values
The crystal system is cubic. As for the density of states at the Fermi level: 0.64 states/eV per atom. The spin magnetization comes out at 0.00 μB/cell. For the electronic total energy, the calculation gives -2.664 eV per atom. The value obtained for the relative energy among the computed polymorphs is 0 meV per atom.

Cell lengths 4.7083, 4.7083, 4.7083 Å; angles 90.00, 90.00, 90.00 degrees
Fractional coordinates of all 5 atoms:
H (0.0000, 0.0000, 0.0000)
Se (0.0000, 0.5000, 0.0000)
Se (0.0000, 0.0000, 0.5000)
Se (0.5000, 0.0000, 0.0000)
Rb (0.5000, 0.5000, 0.5000)

=====

# 2
Rb6H4Se | GGA-PBE | optimized geometry

Calculated values
The crystal system is orthorhombic. As for the density of states at the Fermi level: 0.00 states/eV per atom. The spin magnetization comes out at 0.00 μB/cell. For the electronic total energy, the calculation gives -2.448 eV per atom.

Cell lengths 4.5386, 7.3804, 21.5644 Å; angles 90.00, 90.00, 107.91 degrees
Fractional coordinates of all 22 atoms:
H (0.4062, 0.8125, 0.1225)
H (0.5938, 0.1875, 0.8775)
H (0.4062, 0.8125, 0.3775)
H (0.8624, 0.7247, 0.5386)
H (0.1376, 0.2753, 0.0386)
H (0.1376, 0.2753, 0.4614)
H (0.8624, 0.7247, 0.9614)
H (0.5938, 0.1875, 0.6225)
Se (0.3380, 0.6760, 0.7500)
Se (0.6620, 0.3240, 0.2500)
Rb (0.5000, 0.0000, 0.0000)
Rb (0.2293, 0.4585, 0.5859)
Rb (0.6677, 0.3354, 0.7500)
Rb (0.7707, 0.5415, 0.0859)
Rb (0.9510, 0.9020, 0.6579)
Rb (0.2293, 0.4585, 0.9141)
Rb (0.9510, 0.9020, 0.8421)
Rb (0.3323, 0.6646, 0.2500)
Rb (0.0490, 0.0980, 0.3421)
Rb (0.0490, 0.0980, 0.1579)
Rb (0.5000, 0.0000, 0.5000)
Rb (0.7707, 0.5415, 0.4141)

=====

# 3
Rb3H4Se4 | GGA-PBE | optimized geometry

Calculated values
The crystal system is triclinic. As for the density of states at the Fermi level: 0.07 states/eV per atom. The spin magnetization comes out at 1.03 μB/cell. For the electronic total energy, the calculation gives -3.251 eV per atom.

Cell lengths 5.1399, 4.9298, 12.9329 Å; angles 76.87, 78.53, 89.96 degrees
Last column: magnetic moment on the atom in μB.
Fractional coordinates of all 11 atoms:
Rb (0.8227, 0.4105, 0.3559)  0.00
Rb (0.1772, 0.5895, 0.6441)  0.00
Rb (0.9999, 0.0006, 0.0003)  0.00
Se (0.5573, 0.4478, 0.8844)  0.27
Se (0.4429, 0.5519, 0.1154)  0.26
Se (0.3191, 0.9128, 0.3635)  0.05
Se (0.6809, 0.0872, 0.6364)  0.06
H (0.3666, 0.7798, 0.2677)  0.00
H (0.3989, 0.2788, 0.2035)  0.00
H (0.6012, 0.7212, 0.7964)  0.00
H (0.6334, 0.2201, 0.7322)  0.00

=====

# 4
Rb2HSe | GGA-PBE | optimized geometry

Calculated values
The crystal system is cubic. As for the density of states at the Fermi level: 0.33 states/eV per atom. The spin magnetization comes out at 1.00 μB/cell. For the electronic total energy, the calculation gives -2.521 eV per atom. The value obtained for the relative energy among the computed polymorphs is 98 meV per atom.

Cell lengths 5.6913, 5.6913, 5.6913 Å; angles 60.00, 60.00, 60.00 degrees
Last column: magnetic moment on the atom in μB.
Fractional coordinates of all 4 atoms:
Se (0.5000, 0.5000, 0.5000)  0.27
Rb (0.2500, 0.2500, 0.2500)  0.00
Rb (0.7500, 0.7500, 0.7500)  0.00
H (0.0000, 0.0000, 0.0000)  0.21

=====

# 5
Rb2HSe | GGA-PBE | optimized geometry

Calculated values
The crystal system is tetragonal. As for the density of states at the Fermi level: 0.28 states/eV per atom. The spin magnetization comes out at 0.00 μB/cell. For the electronic total energy, the calculation gives -2.619 eV per atom. The value obtained for the relative energy among the computed polymorphs is 0 meV per atom.

Cell lengths 12.0254, 12.0254, 8.7412 Å; angles 46.54, 46.54, 90.00 degrees
Fractional coordinates of all 8 atoms:
Se (0.0000, 0.0000, 0.0000)
Se (0.7500, 0.2500, 0.5000)
H (0.2500, 0.7500, 0.5000)
H (0.5000, 0.5000, 0.0000)
Rb (0.8750, 0.6298, 0.7500)
Rb (0.3798, 0.1250, 0.2500)
Rb (0.3750, 0.6202, 0.7500)
Rb (0.3702, 0.6250, 0.2500)

=====

# 6
RbHSe3 | GGA-PBE | optimized geometry

Calculated values
The crystal system is cubic. As for the density of states at the Fermi level: 1.19 states/eV per atom. The spin magnetization comes out at 6.00 μB/cell. For the electronic total energy, the calculation gives -1.726 eV per atom. The value obtained for the relative energy among the computed polymorphs is 938 meV per atom.

Cell lengths 6.8999, 6.8999, 6.8999 Å; angles 90.00, 90.00, 90.00 degrees
Last column: magnetic moment on the atom in μB.
Fractional coordinates of all 5 atoms:
Rb (0.0000, 0.0000, 0.0000)  0.00
Se (0.0000, 0.0000, 0.5000)  1.02
Se (0.5000, 0.0000, 0.0000)  0.89
Se (0.0000, 0.5000, 0.0000)  0.91
H (0.5000, 0.5000, 0.5000)  0.38